(a)
Entry from Alexandria: a relaxed Cu6Ni5 crystal (PBE).

```
Cu6Ni5
1.0
-4.363 -5.481 -1.749
1.490 -5.605 -1.060
-1.475 -2.107 3.329
Cu Ni
6 5
Cartesian
-3.287 -9.522 -1.982 Cu
-1.650 -7.653 1.548 Cu
-4.472 -5.778 0.687 Cu
-1.060 -3.671 2.503 Cu
-1.366 -1.810 0.894 Cu
-2.697 -5.540 -1.027 Cu
-1.219 -3.492 -0.923 Ni
-2.919 -3.794 0.790 Ni
-1.655 -7.594 -1.886 Ni
-3.405 -7.857 -0.170 Ni
-0.942 -5.336 0.690 Ni
```

Summary:
crystal system = monoclinic
total moment = 0.890 μB per cell
space-group type = C2/m

(b)
Entry from Alexandria: a relaxed Cu6Ni5 crystal (PBE).

```
Cu6Ni5
1.0
3.299 0.711 -1.127
1.416 5.343 -3.722
0.721 -0.277 7.549
Cu Ni
6 5
Cartesian
3.299 1.791 -0.446 Cu
1.891 0.714 5.979 Cu
3.068 0.621 3.754 Cu
2.137 3.987 3.148 Cu
3.546 5.063 -3.278 Cu
2.368 5.157 -1.053 Cu
3.315 3.880 0.917 Ni
2.121 1.897 1.784 Ni
4.244 2.675 2.875 Ni
1.192 3.102 -0.174 Ni
2.357 3.027 -2.424 Ni
```

Summary:
crystal system = monoclinic
total moment = 0.702 μB per cell
space-group type = C2/m

Quick one: most stable of them? (b)

(a)
Entry from Alexandria: a relaxed Cu3Ni4 crystal (PBE).

```
Cu3Ni4
1.0
2.298 -3.981 0.000
2.298 3.981 0.000
0.000 0.000 4.478
Ni Cu
4 3
Cartesian
2.298 -1.327 2.239 Ni
2.298 1.327 2.239 Ni
0.000 0.000 3.330 Ni
0.000 0.000 1.148 Ni
2.298 0.000 0.000 Cu
1.149 1.990 0.000 Cu
1.149 -1.990 0.000 Cu
```

Summary:
crystal system = hexagonal
total moment = 1.273 μB per cell
space-group type = P6/mmm

(b)
Entry from Alexandria: a relaxed Cu3Ni4 crystal (PBE).

```
Cu3Ni4
1.0
2.496 0.000 -0.237
-0.023 2.496 -0.237
-0.055 -0.056 12.672
Cu Ni
3 4
Cartesian
0.000 0.000 0.000 Cu
0.679 0.685 7.142 Cu
1.740 1.755 5.056 Cu
0.332 0.335 3.494 Ni
1.408 1.421 1.566 Ni
2.086 2.105 8.703 Ni
1.010 1.019 10.632 Ni
```

Summary:
crystal system = tetragonal
total moment = 1.496 μB per cell
space-group type = I4/mmm

Quick one: most stable of them? (b)